Entry 1:
Material: InSi2O2
Method: DFT, PBE
State: optimized geometry

The uncorrected formation energy is -237.0 meV/atom. For the size of the total moment, the calculation gives 0.00 μB per formula unit. The crystal system is tetragonal. Its calculated volume is 161.6 Å³ per cell.

The structure belongs to space group P4/mbm (No. 127); the cell edges are 7.880, 7.880 and 2.602 Å and the angles 90.00°, 90.00° and 90.00°. Symmetry generates all atoms from In at (0.000, 0.000, 0.000), Si at (0.109, 0.391, 0.500) and O at (0.101, 0.601, 0.000).


Entry 2:
Material: InSiO2
Method: DFT, PBE
State: optimized geometry

The uncorrected formation energy is -1547.1 meV/atom. For the size of the total moment, the calculation gives 0.00 μB per formula unit. The crystal system is cubic. Its calculated volume is 458.6 Å³ per cell.

The structure belongs to space group Fd-3m (No. 227, origin choice 2); the cell edges are 7.712, 7.712 and 7.712 Å and the angles 90.00°, 90.00° and 90.00°. Symmetry generates all atoms from In at (0.125, 0.125, 0.125), Si at (0.125, 0.125, 0.625) and O at (0.000, 0.000, 0.500).


Entry 3:
Material: In2SiO6
Method: DFT, PBE
State: optimized geometry

The uncorrected formation energy is -1496.7 meV/atom. For the size of the total moment, the calculation gives 2.03 μB per formula unit. The crystal system is tetragonal. Its calculated volume is 210.8 Å³ per cell.

The structure belongs to space group P4_2/mnm (No. 136); the cell edges are 4.731, 4.731 and 9.418 Å and the angles 90.00°, 90.00° and 90.00°. Symmetry generates all atoms from In at (0.000, 0.000, 0.168), Si at (0.000, 0.000, 0.500), O at (0.181, 0.181, 0.360) and O at (0.232, 0.232, 0.000).


- What is the formula in the third record?
  In2SiO6


- Which value of calculated volume does entry 2 give?
  458.6 Å³ per cell


Repeat the second record exactly.
Material: InSiO2
Method: DFT, PBE
State: optimized geometry

The uncorrected formation energy is -1547.1 meV/atom. For the size of the total moment, the calculation gives 0.00 μB per formula unit. The crystal system is cubic. Its calculated volume is 458.6 Å³ per cell.

The structure belongs to space group Fd-3m (No. 227, origin choice 2); the cell edges are 7.712, 7.712 and 7.712 Å and the angles 90.00°, 90.00° and 90.00°. Symmetry generates all atoms from In at (0.125, 0.125, 0.125), Si at (0.125, 0.125, 0.625) and O at (0.000, 0.000, 0.500).


- What is the size of the total moment in the third record?
  2.03 μB per formula unit